# 1
The following is a DFT calculation (GGA-PBE) of Tb4Ag2Os after structural relaxation.

Properties
magnetization	0.0	μB per cell
formation energy	-0.17	eV/atom
DOS(E_F)	16.49	states/eV per cell

CIF file:
```
data_Tb4Ag2Os
_symmetry_space_group_name_H-M 'R -3 m'
_symmetry_Int_Tables_number 166
_symmetry_space_group_name_Hall '-R 3 2"'
_cell_length_a 5.0372
_cell_length_b 5.0372
_cell_length_c 24.5631
_cell_angle_alpha 90.00
_cell_angle_beta 90.00
_cell_angle_gamma 120.00
loop_
_atom_site_label
_atom_site_type_symbol
_atom_site_fract_x
_atom_site_fract_y
_atom_site_fract_z
Tb1 Tb 0.0000 0.0000 0.1194
Tb2 Tb 0.0000 0.0000 0.3707
Ag1 Ag 0.0000 0.0000 0.2473
Os1 Os 0.0000 0.0000 0.0000
```

---

# 2
The following is a DFT calculation (GGA-PBE) of HgBiB3 after structural relaxation.

Properties
magnetization	0.0	μB per cell
formation energy	2.11	eV/atom
DOS(E_F)	2.37	states/eV per cell
offset from the most stable computed form	0	meV/atom

CIF file:
```
data_HgBiB3
_symmetry_space_group_name_H-M 'P m -3 m'
_symmetry_Int_Tables_number 221
_symmetry_space_group_name_Hall '-P 4 2 3'
_cell_length_a 4.485
_cell_length_b 4.485
_cell_length_c 4.485
_cell_angle_alpha 90.00
_cell_angle_beta 90.00
_cell_angle_gamma 90.00
loop_
_atom_site_label
_atom_site_type_symbol
_atom_site_fract_x
_atom_site_fract_y
_atom_site_fract_z
Hg1 Hg 0.000 0.000 0.000
Bi1 Bi 0.500 0.500 0.500
B1 B 0.000 0.000 0.500
```

---

# 3
The following is a DFT calculation (GGA-PBE) of YScAu2 after structural relaxation.

Properties
magnetization	0.0	μB per cell
formation energy	-0.56	eV/atom
DOS(E_F)	0.24	states/eV per cell
offset from the most stable computed form	265	meV/atom

CIF file:
```
data_YScAu2
_symmetry_space_group_name_H-M 'F -4 3 m'
_symmetry_Int_Tables_number 216
_symmetry_space_group_name_Hall 'F -4 2 3'
_cell_length_a 6.846
_cell_length_b 6.846
_cell_length_c 6.846
_cell_angle_alpha 90.00
_cell_angle_beta 90.00
_cell_angle_gamma 90.00
loop_
_atom_site_label
_atom_site_type_symbol
_atom_site_fract_x
_atom_site_fract_y
_atom_site_fract_z
Y1 Y 0.000 0.000 0.000
Sc1 Sc 0.250 0.250 0.750
Au1 Au 0.000 0.000 0.500
Au2 Au 0.250 0.250 0.250
```